The following is a DFT calculation (PBE) of crystalline Pr3Al2Cu6 at its relaxed geometry.

The calculation puts the energy of formation at -254 meV/atom. The crystal system is cubic.

It has space group Im-3m (No. 229), with a = 9.4158 Å, b = 9.4158 Å, c = 9.4158 Å, α = 90.00°, β = 90.00° and γ = 90.00°. Symmetry generates all atoms from Pr at (0.0000, 0.0000, 0.2839), Al at (0.2500, 0.2500, 0.2500) and Cu at (0.0000, 0.3288, 0.3288).